Below is a relaxed AcAl2Pd crystal, with properties calculated at the GGA-PBE level.

Computed properties:
E_form ... -62 kJ per mole of atoms
Magnetization ... 0.00 μB per formula unit

Unit cell a=16.2079 b=7.2020 c=6.2258 alpha=90.00 beta=90.00 gamma=90.00
With the nearest neighbours (Å) after each atom.
Space group Pnma (No. 62)
One atom of each set of equivalent atoms:
Ac 0.1019 0.2500 0.1976 (multiplicity 4)  3 Pd 3.22-3.60, 10 Al 3.40-3.58
Ac 0.1347 0.7500 0.0070 (multiplicity 4)  3 Pd 3.19-3.35, 4 Al 3.33-3.36
Al 0.0484 0.0630 0.6828 (multiplicity 8)  3 Pd 2.57-2.65, 1 Al 2.69
Al 0.2099 0.5593 0.5119 (multiplicity 8)  3 Pd 2.62-2.77, 1 Al 2.75
Pd 0.0722 0.7500 0.4935 (multiplicity 4)  6 Al 2.57-2.62
Pd 0.1883 0.2500 0.7310 (multiplicity 4)  6 Al 2.64-2.77

***

Below is a relaxed Y3Os crystal, with properties calculated at the GGA-PBE level.

Computed properties:
E_form ... 6 kJ per mole of atoms
Magnetization ... 0.00 μB per formula unit

Unit cell a=4.8783 b=7.1241 c=5.6225 alpha=90.00 beta=90.00 gamma=90.00
With the nearest neighbours (Å) after each atom.
Space group Pmmn (No. 59, origin choice 2)
One atom of each set of equivalent atoms:
Y 0.2500 0.0058 0.1885 (multiplicity 4)  5 Y 3.03-3.23, 3 Os 3.04-3.21
Y 0.2500 0.2500 0.6294 (multiplicity 2)  6 Y 3.03-3.21, 2 Os 3.13
Os 0.2500 0.7500 0.7192 (multiplicity 2)  8 Y 3.04-3.21

***

Below is a relaxed LaRe2Hg crystal, with properties calculated at the GGA-PBE level.

Computed properties:
E_form ... 89 kJ per mole of atoms
Magnetization ... 0.00 μB per formula unit

Unit cell a=3.1505 b=4.8793 c=9.9695 alpha=90.00 beta=90.00 gamma=90.00
With the nearest neighbours (Å) after each atom.
Space group Cmmm (No. 65)
One atom of each set of equivalent atoms:
La 0.0000 0.0000 0.0000 (multiplicity 2)  6 La 2.90-3.15, 4 Re 3.03
Re 0.0000 0.5000 0.2594 (multiplicity 4)  2 Hg 2.87, 6 Re 2.90-3.15, 2 La 3.03
Hg 0.0000 0.0000 0.5000 (multiplicity 2)  4 Re 2.87, 6 Hg 2.90-3.15

***

Below is a relaxed Zr4PdAu crystal, with properties calculated at the GGA-PBE level.

Computed properties:
E_form ... -43 kJ per mole of atoms
Magnetization ... 0.00 μB per formula unit

Unit cell a=3.3180 b=3.3180 c=11.3394 alpha=90.00 beta=90.00 gamma=90.00
With the nearest neighbours (Å) after each atom.
Space group P4/mmm (No. 123)
One atom of each set of equivalent atoms:
Zr 0.0000 0.0000 0.1527 (multiplicity 2)  4 Pd 2.92, 4 Zr 3.12
Zr 0.5000 0.5000 0.3344 (multiplicity 2)  4 Au 3.01, 8 Zr 3.12-3.32
Pd 0.5000 0.5000 0.0000 (multiplicity 1)  8 Zr 2.92
Au 0.0000 0.0000 0.5000 (multiplicity 1)  8 Zr 3.01, 4 Au 3.32

***

Below is a relaxed TlReSb2 crystal, with properties calculated at the GGA-PBE level.

Computed properties:
Formation energy without anion corrections ... 77 kJ/mol of atoms
Magnetization ... 0.34 μB per formula unit

Unit cell a=7.0782 b=7.0782 c=7.0782 alpha=90.00 beta=90.00 gamma=90.00
With the nearest neighbours (Å) after each atom.
Space group Fm-3m (No. 225)
One atom of each set of equivalent atoms:
Tl 0.0000 0.0000 0.0000 (multiplicity 4)  8 Sb 3.06
Re 0.0000 0.0000 0.5000 (multiplicity 4)  8 Sb 3.06
Sb 0.2500 0.2500 0.2500 (multiplicity 8)  4 Tl 3.06, 4 Re 3.06

***

Below is a relaxed Li5Hg5Bi2 crystal, with properties calculated at the GGA-PBE level.

Computed properties:
E_form ... -29 kJ per mole of atoms
Magnetization ... 0.00 μB per formula unit

Unit cell a=15.3918 b=3.4490 c=11.3040 alpha=90.00 beta=119.18 gamma=90.00
With the nearest neighbours (Å) after each atom.
Space group C2/m (No. 12)
One atom of each set of equivalent atoms:
Li 0.0000 0.0000 0.0000 (multiplicity 2)  4 Hg 2.99, 4 Bi 3.21
Li 0.0693 0.0000 0.7426 (multiplicity 4)  6 Hg 2.86-2.96, 2 Bi 3.07
Li 0.1677 0.0000 0.5241 (multiplicity 4)  4 Hg 2.88-3.00, 3 Bi 3.03-3.15
Hg 0.0000 0.5000 0.5000 (multiplicity 2)  8 Li 2.96-3.00, 2 Hg 3.20
Hg 0.1516 0.5000 0.9817 (multiplicity 4)  4 Li 2.92-2.99, 3 Hg 3.17-3.24
Hg 0.2210 0.5000 0.7532 (multiplicity 4)  4 Li 2.86-2.88, 2 Hg 3.17
Bi 0.1012 0.5000 0.2748 (multiplicity 4)  7 Li 3.03-3.21, 2 Hg 3.38

***

Below is a relaxed CrReTe crystal, with properties calculated at the GGA-PBE level.

Computed properties:
Formation energy without anion corrections ... 56 kJ/mol of atoms
Magnetization ... 0.00 μB per formula unit

Unit cell a=3.0340 b=3.0340 c=10.8581 alpha=90.00 beta=90.00 gamma=90.00
With the nearest neighbours (Å) after each atom.
Space group I4mm (No. 107)
One atom of each set of equivalent atoms:
Cr 0.0000 0.0000 0.0000 (multiplicity 2)  4 Re 2.55
Re 0.0000 0.0000 0.3739 (multiplicity 2)  4 Cr 2.55
Te 0.0000 0.0000 0.6790 (multiplicity 2)  4 Cr 2.89, 4 Re 3.01, 4 Te 3.03

***

Below is a relaxed Na2NpBr2O2 crystal, with properties calculated at the GGA-PBE level.

Computed properties:
Formation energy without anion corrections ... -194 kJ/mol of atoms
Magnetization ... 3.00 μB per formula unit

Unit cell a=4.2889 b=4.2889 c=17.1204 alpha=90.00 beta=90.00 gamma=90.00
With the nearest neighbours (Å) after each atom.
Space group I4/mmm (No. 139)
One atom of each set of equivalent atoms:
Na 0.0000 0.0000 0.1232 (multiplicity 4)  4 O 3.01, 4 Br 3.14
Np 0.0000 0.0000 0.5000 (multiplicity 2)  4 O 2.14
Br 0.0000 0.0000 0.3285 (multiplicity 4)  1 Np 2.94, 4 Na 3.14
O 0.0000 0.5000 0.0000 (multiplicity 4)  2 Np 2.14

***

Below is a relaxed TiMn2Ga2 crystal, with properties calculated at the GGA-PBE level.

Computed properties:
E_form ... -3 kJ per mole of atoms
Magnetization ... 0.00 μB per formula unit

Unit cell a=6.8353 b=6.8353 c=3.0187 alpha=90.00 beta=90.00 gamma=90.00
With the nearest neighbours (Å) after each atom.
Space group P4/mbm (No. 127)
One atom of each set of equivalent atoms:
Ti 0.0000 0.0000 0.0000 (multiplicity 2)  4 Ga 2.67, 8 Mn 2.96
Mn 0.1669 0.3331 0.5000 (multiplicity 4)  6 Ga 2.46-2.55
Ga 0.1323 0.6323 0.0000 (multiplicity 4)  6 Mn 2.46-2.55, 1 Ga 2.56, 2 Ti 2.67

***

Below is a relaxed PPt3 crystal, with properties calculated at the GGA-PBE level.

Computed properties:
E_form ... 40 kJ per mole of atoms
Magnetization ... 0.00 μB per formula unit

Unit cell a=4.4878 b=4.4878 c=4.4878 alpha=90.00 beta=90.00 gamma=90.00
With the nearest neighbours (Å) after each atom.
Space group Pm-3m (No. 221)
One atom of each set of equivalent atoms:
P 0.0000 0.0000 0.0000 (multiplicity 1)  6 Pt 2.24
Pt 0.0000 0.0000 0.5000 (multiplicity 3)  2 P 2.24

***

Below is a relaxed ZrAg3Pd crystal, with properties calculated at the GGA-PBE level.

Computed properties:
E_form ... 137 kJ per mole of atoms
Magnetization ... 0.78 μB per formula unit

Unit cell a=5.1973 b=5.1973 c=5.1973 alpha=90.00 beta=90.00 gamma=90.00
With the nearest neighbours (Å) after each atom.
Space group Pm-3m (No. 221)
One atom of each set of equivalent atoms:
Zr 0.0000 0.0000 0.0000 (multiplicity 1)  6 Ag 2.60
Ag 0.0000 0.0000 0.5000 (multiplicity 3)  2 Zr 2.60
Pd 0.5000 0.5000 0.5000 (multiplicity 1)  12 Ag 3.68

***

Below is a relaxed HfPtI2O crystal, with properties calculated at the GGA-PBE level.

Computed properties:
Formation energy without anion corrections ... 32 kJ/mol of atoms
Magnetization ... 1.29 μB per formula unit

Unit cell a=5.6726 b=5.6726 c=3.7826 alpha=90.00 beta=90.00 gamma=90.00
With the nearest neighbours (Å) after each atom.
Space group P4/mmm (No. 123)
One atom of each set of equivalent atoms:
Hf 0.0000 0.0000 0.0000 (multiplicity 1)  8 I 3.41, 2 Hf 3.78
Pt 0.5000 0.5000 0.5000 (multiplicity 1)  2 O 1.89
I 0.0000 0.5000 0.5000 (multiplicity 2)  2 Pt 2.84
O 0.5000 0.5000 0.0000 (multiplicity 1)  2 Pt 1.89